This record from Alexandria via LeMat-Bulk describes an optimized crystal structure of Ca2Al2Tl. The functional is GGA-PBE.

Computed properties:
The energy is -14.402 eV for the cell shown. As for the formation energy: -0.11 eV/atom. Its crystal system is tetragonal. The value obtained for the total moment is 0.00 μB/cell. The density of states at the Fermi level comes out at 3.4 states/eV/f.u.

Geometry as POSCAR:
```
Ca2Al2Tl
1.0
-0.889 -1.650 -3.326
2.482 -2.808 0.730
-6.086 -7.193 3.006
Tl Ca Al
1 2 2
Direct
0.000 0.000 0.000
0.605 0.605 0.789
0.395 0.395 0.211
0.750 0.250 0.500
0.250 0.750 0.500
```